Entry from the Alexandria database: crystalline Ca2CdCu12Ni3 at its relaxed geometry (PBE).

The structure in POSCAR format:
```
Ca2CdCu12Ni3
1.0
4.2954 2.4800 4.0768
-4.2954 2.4800 4.0768
0.0000 -4.9600 4.0768
Ca Cd Cu Ni
2 1 12 3
Direct
0.2391 0.2391 0.2391
0.7609 0.7609 0.7609
0.5000 0.5000 0.5000
0.0815 0.0815 0.6415
0.0815 0.6415 0.0815
0.2060 0.7037 0.7037
0.2963 0.2963 0.7940
0.2963 0.7940 0.2963
0.3585 0.9185 0.9185
0.6415 0.0815 0.0815
0.7037 0.2060 0.7037
0.7037 0.7037 0.2060
0.7940 0.2963 0.2963
0.9185 0.3585 0.9185
0.9185 0.9185 0.3585
0.0000 0.5000 0.5000
0.5000 0.0000 0.5000
0.5000 0.5000 0.0000
```

Computed properties:
- Calculated formation energy: 2.5 eV/f.u.
- Calculated total energy: -3.83 eV/atom